Entry 1:
This record from OQMD via LeMat-Bulk describes a relaxed structure of LaAl5AgPt. The functional is PBE.

- Total moment: 0.0 μB per formula unit
- Raw total energy: -4.6394 eV per atom
- SG: Imm2, No. 44

extended XYZ file:
```
8
Lattice="5.570 -0.576 3.400 -2.172 -3.517 5.083 1.067 -0.254 -6.459" Properties=species:S:1:pos:R:3 pbc="T T T"
Al 2.060 -2.753 -0.408
La 3.389 -4.080 8.458
Al 3.409 -2.801 4.938
Ag 0.297 -2.908 1.433
Al 0.993 -1.557 -2.828
Al 1.144 -3.928 3.547
Pt 4.142 -1.407 0.527
Al 2.506 -1.626 2.442
```

Entry 2:
This record from OQMD via LeMat-Bulk describes a relaxed structure of LaSm2Al7Ag2. The functional is PBE.

- Total moment: 0.0 μB per formula unit
- Raw total energy: -4.3347 eV per atom
- SG: R-3m, No. 166

extended XYZ file:
```
12
Lattice="2.823 1.630 8.899 -2.823 1.630 8.899 0.000 -3.260 8.899" Properties=species:S:1:pos:R:3 pbc="T T T"
Ag 0.000 0.000 8.969
Al -1.446 0.835 15.576
Al 0.000 1.670 11.122
Al -1.446 -0.835 11.122
Al 1.446 -0.835 11.122
Al 1.446 0.835 15.576
La 0.000 0.000 0.000
Sm 0.000 0.000 3.786
Sm 0.000 0.000 22.912
Al 0.000 -1.670 15.576
Ag 0.000 0.000 17.728
Al 0.000 0.000 13.349
```

Entry 3:
This record from OQMD via LeMat-Bulk describes a relaxed structure of La2SmAl7Ag2. The functional is PBE.

- Total moment: 0.0 μB per formula unit
- Raw total energy: -4.3165 eV per atom
- SG: R-3m, No. 166

extended XYZ file:
```
12
Lattice="-3.643 4.342 7.689 1.753 6.020 7.207 -2.254 8.391 3.969" Properties=species:S:1:pos:R:3 pbc="T T T"
La -3.554 16.085 16.182
Al -1.271 6.679 9.005
Al -2.872 12.074 9.860
Al -2.072 9.377 9.433
Al -3.320 7.891 7.350
Ag -1.393 6.305 6.342
Sm 0.000 0.000 0.000
La -0.589 2.668 2.684
Al -0.561 8.749 7.104
Al -3.582 10.004 11.762
Ag -2.751 12.448 12.523
Al -0.824 10.862 11.515
```

Entry 4:
This record from OQMD via LeMat-Bulk describes a relaxed structure of Sr2LaAl7Ag2. The functional is PBE.

- Total moment: 0.0 μB per formula unit
- Raw total energy: -3.6680 eV per atom
- SG: R-3m, No. 166

extended XYZ file:
```
12
Lattice="2.875 1.660 9.097 -2.875 1.660 9.097 0.000 -3.319 9.097" Properties=species:S:1:pos:R:3 pbc="T T T"
Al 1.464 -0.845 11.290
Sr 0.000 0.000 23.401
Al -1.464 -0.845 11.290
Ag 0.000 0.000 18.119
Al 0.000 -1.691 16.001
La 0.000 0.000 0.000
Al 0.000 0.000 13.646
Sr 0.000 0.000 3.891
Al 1.464 0.845 16.001
Al 0.000 1.691 11.290
Al -1.464 0.845 16.001
Ag 0.000 0.000 9.173
```

Entry 5:
This record from OQMD via LeMat-Bulk describes a relaxed structure of LaTb2Al7Ag2. The functional is PBE.

- Total moment: 0.0 μB per formula unit
- Raw total energy: -4.3229 eV per atom
- SG: R-3m, No. 166

extended XYZ file:
```
12
Lattice="-0.792 -8.931 2.908 2.925 -8.868 -1.291 4.495 -7.327 3.868" Properties=species:S:1:pos:R:3 pbc="T T T"
Al 4.303 -10.198 1.736
Tb 0.942 -3.571 0.780
Al 1.594 -11.020 1.244
Al 5.034 -14.106 4.242
Al 2.399 -10.231 3.887
Tb 5.686 -21.555 4.706
La 0.000 0.000 0.000
Al 3.314 -12.563 2.743
Al 2.325 -14.928 3.750
Ag 2.226 -8.439 1.842
Ag 4.402 -16.688 3.643
Al 4.229 -14.896 1.599
```

Entry 6:
This record from OQMD via LeMat-Bulk describes a relaxed structure of La2TbAl7Ag2. The functional is PBE.

- Total moment: 0.0 μB per formula unit
- Raw total energy: -4.2965 eV per atom
- SG: R-3m, No. 166

extended XYZ file:
```
12
Lattice="2.829 1.634 8.966 -2.829 1.634 8.966 0.000 -3.267 8.966" Properties=species:S:1:pos:R:3 pbc="T T T"
Al 0.000 -1.669 15.753
Ag 0.000 0.000 17.857
Al 1.446 -0.835 11.144
La 0.000 0.000 23.071
Al 0.000 1.669 11.144
Tb 0.000 0.000 0.000
Ag 0.000 0.000 9.041
Al -1.446 -0.835 11.144
Al 1.446 0.835 15.753
La 0.000 0.000 3.826
Al 0.000 0.000 13.449
Al -1.446 0.835 15.753
```

> Which of these has the highest raw total energy?

Sr2LaAl7Ag2